A plane-wave DFT calculation with PBE+U was carried out for an optimized crystal structure of HoNiAs2O8.

a b c (Å): 6.9717 6.9717 6.3301
angles (deg): 90.00 90.00 90.00
Space group I-4m2 (No. 119)
Asymmetric unit:
Ho  0.0000  0.0000  0.0000 x2
Ni  0.0000  0.5000  0.7500 x2
As  0.0000  0.0000  0.5000 x2
As  0.0000  0.5000  0.2500 x2
O  0.0000  0.1877  0.6793 x8
O  0.0000  0.3156  0.0728 x8

Summary:
The density of states at the Fermi level is 0.703 states/eV per atom. As for the final energy: -74.46 eV per formula unit. The total moment is 0.2570 μB per atom.